# 1
An optimized crystal structure of La2Tb6Ho3Er, computed with PBE-GGA. Values from VASP.

The structure in Quantum ESPRESSO input format:
```
&SYSTEM
  ibrav = 0, nat = 12, ntyp = 4
/
ATOMIC_SPECIES
La 138.91 La.upf
Tb 158.93 Tb.upf
Ho 164.93 Ho.upf
Er 167.26 Er.upf
CELL_PARAMETERS angstrom
6.200 0.000 0.012
-3.099 5.370 0.012
-1.054 -1.825 11.677
ATOMIC_POSITIONS angstrom
La 0.001 3.580 0.012
La 3.100 1.790 0.012
Tb 3.080 1.770 8.724
Tb 2.068 3.580 2.990
Tb -1.033 1.774 2.976
Tb -0.006 3.552 8.724
Tb -0.021 -0.036 8.710
Tb 2.053 -0.008 2.976
Ho -2.080 3.564 5.850
Ho 4.127 -0.020 5.850
Ho 1.023 1.772 5.850
Er 0.000 0.000 0.000
```

## Properties
- energy of formation from the pure elements (kJ/mol of atoms) = 2.1
- electronic total energy (eV per formula unit) = -55.68
- total magnetization (μB per formula unit) = 0.0

# 2
An optimized crystal structure of LaTbHoEr3, computed with PBE-GGA. Values from VASP.

The structure in Quantum ESPRESSO input format:
```
&SYSTEM
  ibrav = 0, nat = 12, ntyp = 4
/
ATOMIC_SPECIES
La 138.91 La.upf
Tb 158.93 Tb.upf
Ho 164.93 Ho.upf
Er 167.26 Er.upf
CELL_PARAMETERS angstrom
5.595 0.000 0.000
-2.797 9.662 1.595
0.000 -1.242 7.022
ATOMIC_POSITIONS angstrom
La 0.000 5.699 7.938
La 2.797 2.721 0.679
Tb 2.797 2.347 3.658
Tb 0.000 6.073 4.959
Ho 0.000 0.686 2.143
Ho 2.797 7.734 6.474
Er 2.797 6.172 3.011
Er 2.797 4.435 6.228
Er 0.000 8.852 3.430
Er 0.000 3.985 2.389
Er 2.797 -0.432 5.187
Er 0.000 2.248 5.606
```

## Properties
- energy of formation from the pure elements (kJ/mol of atoms) = 21.1
- electronic total energy (eV per formula unit) = -26.51
- total magnetization (μB per formula unit) = 0.0

# 3
An optimized crystal structure of La2TbHo2Er2, computed with PBE-GGA. Values from VASP.

The structure in Quantum ESPRESSO input format:
```
&SYSTEM
  ibrav = 0, nat = 7, ntyp = 4
/
ATOMIC_SPECIES
La 138.91 La.upf
Tb 158.93 Tb.upf
Ho 164.93 Ho.upf
Er 167.26 Er.upf
CELL_PARAMETERS angstrom
-0.837 2.769 -2.006
-3.666 -4.605 -1.740
-10.330 1.078 5.797
ATOMIC_POSITIONS angstrom
La -11.284 1.268 3.369
La -3.549 -2.027 -1.318
Tb -5.165 0.539 2.899
Ho -11.612 -2.083 1.968
Ho -3.221 1.325 0.084
Er -6.439 0.021 -0.373
Er -8.394 -0.780 2.425
```

## Properties
- energy of formation from the pure elements (kJ/mol of atoms) = 8.3
- electronic total energy (eV per formula unit) = -32.17
- total magnetization (μB per formula unit) = 0.0

# 4
An optimized crystal structure of LaTb2HoEr2, computed with PBE-GGA. Values from VASP.

The structure in Quantum ESPRESSO input format:
```
&SYSTEM
  ibrav = 0, nat = 12, ntyp = 4
/
ATOMIC_SPECIES
La 138.91 La.upf
Tb 158.93 Tb.upf
Ho 164.93 Ho.upf
Er 167.26 Er.upf
CELL_PARAMETERS angstrom
5.627 0.000 0.000
0.000 9.831 0.000
0.000 0.000 6.947
ATOMIC_POSITIONS angstrom
La 0.000 0.000 0.000
La 2.813 4.915 3.473
Tb 2.813 8.194 1.756
Tb 2.813 1.636 5.191
Tb 0.000 6.552 5.229
Tb 0.000 3.279 1.718
Ho 2.813 4.915 0.000
Ho 0.000 0.000 3.473
Er 2.813 1.638 1.744
Er 0.000 6.554 1.730
Er 2.813 8.192 5.203
Er 0.000 3.277 5.217
```

## Properties
- energy of formation from the pure elements (kJ/mol of atoms) = 6.5
- electronic total energy (eV per formula unit) = -27.48
- total magnetization (μB per formula unit) = 0.0

# 5
An optimized crystal structure of La2Tb3Ho6Er, computed with PBE-GGA. Values from VASP.

The structure in Quantum ESPRESSO input format:
```
&SYSTEM
  ibrav = 0, nat = 12, ntyp = 4
/
ATOMIC_SPECIES
La 138.91 La.upf
Tb 158.93 Tb.upf
Ho 164.93 Ho.upf
Er 167.26 Er.upf
CELL_PARAMETERS angstrom
6.187 0.000 0.010
-3.092 5.359 0.010
-1.047 -1.813 11.617
ATOMIC_POSITIONS angstrom
La 0.003 3.572 0.010
La 3.092 1.787 0.010
Tb -2.070 3.560 5.819
Tb 4.118 -0.014 5.819
Tb 1.024 1.773 5.819
Ho 3.077 1.771 8.691
Ho 2.065 3.576 2.961
Ho -1.029 1.775 2.947
Ho -0.004 3.550 8.691
Ho -0.017 -0.030 8.677
Ho 2.052 -0.004 2.947
Er 0.000 0.000 0.000
```

## Properties
- energy of formation from the pure elements (kJ/mol of atoms) = 2.0
- electronic total energy (eV per formula unit) = -55.53
- total magnetization (μB per formula unit) = 0.0

# 6
An optimized crystal structure of La3Tb2Ho6Er, computed with PBE-GGA. Values from VASP.

The structure in Quantum ESPRESSO input format:
```
&SYSTEM
  ibrav = 0, nat = 12, ntyp = 4
/
ATOMIC_SPECIES
La 138.91 La.upf
Tb 158.93 Tb.upf
Ho 164.93 Ho.upf
Er 167.26 Er.upf
CELL_PARAMETERS angstrom
-4.888 3.823 -0.357
-0.839 -5.994 1.417
3.049 3.239 10.963
ATOMIC_POSITIONS angstrom
La 0.010 -2.736 6.603
La -2.688 3.804 5.421
La -1.339 0.534 6.012
Tb -2.189 -2.720 0.826
Tb -3.538 0.550 0.235
Ho -2.679 2.449 8.786
Ho -3.539 -0.832 3.473
Ho 0.001 -1.381 3.237
Ho -1.330 -0.820 9.377
Ho 0.861 1.901 8.550
Ho -1.348 1.889 2.646
Er 0.000 0.000 0.000
```

## Properties
- energy of formation from the pure elements (kJ/mol of atoms) = 2.2
- electronic total energy (eV per formula unit) = -55.80
- total magnetization (μB per formula unit) = 0.0

# 7
An optimized crystal structure of La3TbHoEr, computed with PBE-GGA. Values from VASP.

The structure in Quantum ESPRESSO input format:
```
&SYSTEM
  ibrav = 0, nat = 12, ntyp = 4
/
ATOMIC_SPECIES
La 138.91 La.upf
Tb 158.93 Tb.upf
Ho 164.93 Ho.upf
Er 167.26 Er.upf
CELL_PARAMETERS angstrom
-0.181 3.133 -1.850
-10.516 -1.945 -2.264
0.758 5.565 9.350
ATOMIC_POSITIONS angstrom
La -9.299 0.906 -2.934
La -0.640 5.846 8.170
La -6.319 2.102 2.385
La -3.621 4.651 2.851
La -3.946 2.759 -0.321
La -5.993 3.994 5.558
Tb -1.087 2.191 2.024
Tb -8.852 4.561 3.212
Ho -6.548 0.264 -0.704
Ho -3.392 6.488 5.940
Er -0.846 4.016 5.091
Er -9.093 2.736 0.145
```

## Properties
- energy of formation from the pure elements (kJ/mol of atoms) = 2.6
- electronic total energy (eV per formula unit) = -28.39
- total magnetization (μB per formula unit) = 0.0

# 8
An optimized crystal structure of La3TbHo2Er6, computed with PBE-GGA. Values from VASP.

The structure in Quantum ESPRESSO input format:
```
&SYSTEM
  ibrav = 0, nat = 12, ntyp = 4
/
ATOMIC_SPECIES
La 138.91 La.upf
Tb 158.93 Tb.upf
Ho 164.93 Ho.upf
Er 167.26 Er.upf
CELL_PARAMETERS angstrom
-4.976 2.166 -2.997
3.404 -4.531 -2.514
-6.108 -7.128 7.125
ATOMIC_POSITIONS angstrom
La -1.047 -6.979 0.968
La -6.633 -2.514 0.646
La -3.840 -4.747 0.807
Tb 0.000 0.000 0.000
Ho 0.611 -2.299 -2.675
Ho -2.183 -0.066 -2.836
Er -7.196 -6.050 1.160
Er -2.668 -3.510 -2.381
Er -0.484 -3.444 0.454
Er -4.401 -8.283 1.321
Er -5.013 -5.984 3.995
Er -3.279 -1.210 0.292
```

## Properties
- energy of formation from the pure elements (kJ/mol of atoms) = 2.4
- electronic total energy (eV per formula unit) = -55.65
- total magnetization (μB per formula unit) = 0.0

# 9
An optimized crystal structure of LaTb4Ho2Er, computed with PBE-GGA. Values from VASP.

The structure in Quantum ESPRESSO input format:
```
&SYSTEM
  ibrav = 0, nat = 16, ntyp = 4
/
ATOMIC_SPECIES
La 138.91 La.upf
Tb 158.93 Tb.upf
Ho 164.93 Ho.upf
Er 167.26 Er.upf
CELL_PARAMETERS angstrom
-4.864 5.089 1.107
-7.343 -5.167 -8.487
7.274 -4.917 8.685
ATOMIC_POSITIONS angstrom
La -2.466 -2.496 0.653
La 0.000 0.000 0.001
Tb -6.727 -2.588 -6.054
Tb -1.853 0.080 3.088
Tb -3.081 -5.075 -1.781
Tb 1.793 -2.407 7.358
Tb -9.133 -0.071 -5.507
Tb -5.539 -2.502 -1.222
Tb 0.605 -2.493 2.528
Tb 4.199 -4.924 6.811
Ho -2.433 2.544 0.554
Ho -6.138 -5.081 -3.591
Ho -8.570 -2.536 -3.038
Ho -6.104 -0.039 -3.690
Er -3.672 -2.584 -4.244
Er -4.899 0.047 1.206
```

## Properties
- energy of formation from the pure elements (kJ/mol of atoms) = 1.7
- electronic total energy (eV per formula unit) = -37.02
- total magnetization (μB per formula unit) = 0.0

# 10
An optimized crystal structure of LaTb6Ho2Er3, computed with PBE-GGA. Values from VASP.

The structure in Quantum ESPRESSO input format:
```
&SYSTEM
  ibrav = 0, nat = 12, ntyp = 4
/
ATOMIC_SPECIES
La 138.91 La.upf
Tb 158.93 Tb.upf
Ho 164.93 Ho.upf
Er 167.26 Er.upf
CELL_PARAMETERS angstrom
-5.533 2.069 1.744
2.267 -5.171 2.460
6.072 7.241 7.063
ATOMIC_POSITIONS angstrom
La 0.000 0.000 0.000
Tb 0.789 4.300 8.297
Tb -0.912 -0.494 4.945
Tb 2.018 -0.161 2.971
Tb 3.399 1.877 8.536
Tb 3.719 4.632 6.322
Tb -0.592 2.261 2.731
Ho -0.334 -2.757 2.221
Ho -2.932 -0.345 1.983
Er 3.999 -0.341 5.872
Er -1.193 4.479 5.395
Er 1.403 2.069 5.634
```

## Properties
- energy of formation from the pure elements (kJ/mol of atoms) = 2.0
- electronic total energy (eV per formula unit) = -55.30
- total magnetization (μB per formula unit) = 0.0

# 11
An optimized crystal structure of La6Tb2HoEr, computed with PBE-GGA. Values from VASP.

The structure in Quantum ESPRESSO input format:
```
&SYSTEM
  ibrav = 0, nat = 20, ntyp = 4
/
ATOMIC_SPECIES
La 138.91 La.upf
Tb 158.93 Tb.upf
Ho 164.93 Ho.upf
Er 167.26 Er.upf
CELL_PARAMETERS angstrom
9.365 -2.090 -2.169
0.724 8.760 -2.070
0.724 -2.393 8.677
ATOMIC_POSITIONS angstrom
La 1.102 -0.957 6.245
La 5.030 -0.954 6.247
La 9.712 5.233 -1.807
La 5.784 5.231 -1.809
La 3.902 7.038 1.071
La 2.229 4.512 -1.550
La 6.912 -2.762 3.367
La 8.585 -0.236 5.988
La 1.994 4.739 2.573
La 4.138 2.926 0.691
La 8.820 -0.463 1.865
La 6.676 1.351 3.747
Tb 5.362 4.393 3.506
Tb 0.769 1.980 1.003
Tb 5.452 -0.116 0.932
Tb 10.045 2.296 3.435
Ho 3.066 1.671 3.715
Ho 7.748 2.606 0.723
Er 3.066 7.971 -2.356
Er 7.748 -3.695 6.794
```

## Properties
- energy of formation from the pure elements (kJ/mol of atoms) = 10.5
- electronic total energy (eV per formula unit) = -46.88
- total magnetization (μB per formula unit) = 0.0

# 12
An optimized crystal structure of La5TbHoEr2, computed with PBE-GGA. Values from VASP.

The structure in Quantum ESPRESSO input format:
```
&SYSTEM
  ibrav = 0, nat = 18, ntyp = 4
/
ATOMIC_SPECIES
La 138.91 La.upf
Tb 158.93 Tb.upf
Ho 164.93 Ho.upf
Er 167.26 Er.upf
CELL_PARAMETERS angstrom
5.492 0.000 0.000
-2.746 10.870 0.000
0.000 0.000 10.632
ATOMIC_POSITIONS angstrom
La 0.000 8.186 0.085
La 2.746 4.797 8.712
La 2.746 0.004 8.056
La 0.000 6.096 7.428
La 2.746 10.845 5.399
La 2.746 2.684 5.401
La 0.000 6.073 3.396
La 0.000 10.867 2.740
La 2.746 4.775 2.112
La 0.000 0.025 0.083
Tb 2.746 6.292 5.410
Tb 0.000 4.578 0.094
Ho 2.746 2.181 0.083
Ho 0.000 8.689 5.399
Er 2.746 8.419 8.060
Er 0.000 2.468 8.056
Er 0.000 2.451 2.744
Er 2.746 8.403 2.740
```

## Properties
- energy of formation from the pure elements (kJ/mol of atoms) = 12.4
- electronic total energy (eV per formula unit) = -41.81
- total magnetization (μB per formula unit) = 0.0